The following is a PBE-GGA calculation of SrBe2Cu2 after structural relaxation, from Alexandria via LeMat-Bulk.

CIF file:
```
data_SrBe2Cu2
_cell_length_a 7.3882
_cell_length_b 7.3882
_cell_length_c 2.7712
_cell_angle_alpha 90.00
_cell_angle_beta 90.00
_cell_angle_gamma 90.00
_space_group_name_H-M_alt 'P 4/m b m'
_space_group_IT_number 127
_space_group_name_Hall '-P 4 2ab'
loop_
_atom_site_label
_atom_site_fract_x
_atom_site_fract_y
_atom_site_fract_z
_atom_site_occupancy
Sr1 0.0000 0.0000 0.0000 1
Be1 0.1335 0.3665 0.5000 1
Cu1 0.1277 0.6277 0.0000 1
```

Formation energy from the elements = 171 kJ/mol of formula units
Polymorph energy (0 for the lowest one) = 0.204 eV per atom
Density of states at the Fermi level = 1.72 states/eV/f.u.